Record 1
# KTc | Alexandria | PBE-GGA | optimized geometry
data_KTc
_cell_length_a 13.329
_cell_length_b 13.329
_cell_length_c 5.190
_cell_angle_alpha 81.07
_cell_angle_beta 81.07
_cell_angle_gamma 14.01
_space_group_name_H-M_alt 'P 1'
_space_group_IT_number 1
_space_group_name_Hall 'P 1'
loop_
_atom_site_label
_atom_site_fract_x
_atom_site_fract_y
_atom_site_fract_z
K1 0.957 0.957 0.982
K2 0.731 0.731 0.760
K3 0.585 0.585 0.377
Tc1 0.336 0.336 0.316
Tc2 0.883 0.883 0.538
Tc3 0.341 0.341 0.860
# D(E_F) ... 5.61 states/eV/cell
# Crystal system ... monoclinic
# E_tot ... -4.8591 eV/atom
# Excess energy over the best structure of this formula in the dataset ... 116 meV per atom

---

Record 2
# LiNi2Hg | Alexandria | PBE-GGA | optimized geometry
data_LiNi2Hg
_cell_length_a 3.099
_cell_length_b 3.099
_cell_length_c 5.704
_cell_angle_alpha 90.00
_cell_angle_beta 90.00
_cell_angle_gamma 90.00
_space_group_name_H-M_alt 'P 1'
_space_group_IT_number 1
_space_group_name_Hall 'P 1'
loop_
_atom_site_label
_atom_site_fract_x
_atom_site_fract_y
_atom_site_fract_z
Hg1 0.500 0.500 0.250
Li1 0.500 0.500 0.750
Ni1 0.000 0.000 0.968
Ni2 0.000 0.000 0.532
# D(E_F) ... 2.16 states/eV/cell
# Crystal system ... tetragonal
# E_tot ... -3.2927 eV/atom

---

Record 3
# BaCuAu2 | Alexandria | PBE-GGA | optimized geometry
data_BaCuAu2
_cell_length_a 4.855
_cell_length_b 4.855
_cell_length_c 4.218
_cell_angle_alpha 90.00
_cell_angle_beta 90.00
_cell_angle_gamma 90.00
_space_group_name_H-M_alt 'P 1'
_space_group_IT_number 1
_space_group_name_Hall 'P 1'
loop_
_atom_site_label
_atom_site_fract_x
_atom_site_fract_y
_atom_site_fract_z
Au1 0.000 0.000 0.000
Au2 0.500 0.500 0.000
Ba1 0.500 0.000 0.500
Cu1 0.000 0.500 0.500
# D(E_F) ... 1.36 states/eV/cell
# Crystal system ... tetragonal
# E_tot ... -3.1848 eV/atom
# Excess energy over the best structure of this formula in the dataset ... 402 meV per atom

---

Record 4
# MoPt3Rh3 | Alexandria | PBE-GGA | optimized geometry
data_MoPt3Rh3
_cell_length_a 2.653
_cell_length_b 11.375
_cell_length_c 11.375
_cell_angle_alpha 120.00
_cell_angle_beta 90.00
_cell_angle_gamma 90.00
_space_group_name_H-M_alt 'P 1'
_space_group_IT_number 1
_space_group_name_Hall 'P 1'
loop_
_atom_site_label
_atom_site_fract_x
_atom_site_fract_y
_atom_site_fract_z
Mo1 0.250 0.667 0.333
Mo2 0.750 0.333 0.667
Pt1 0.750 0.590 0.861
Pt2 0.750 0.270 0.410
Pt3 0.250 0.861 0.270
Pt4 0.750 0.139 0.730
Pt5 0.250 0.730 0.590
Pt6 0.250 0.410 0.139
Rh1 0.750 0.080 0.466
Rh2 0.750 0.386 0.920
Rh3 0.250 0.466 0.386
Rh4 0.750 0.534 0.614
Rh5 0.250 0.614 0.080
Rh6 0.250 0.920 0.534
# D(E_F) ... 18.87 states/eV/cell
# Crystal system ... hexagonal
# E_tot ... -6.8742 eV/atom
# Excess energy over the best structure of this formula in the dataset ... 389 meV per atom

---

no.,total moment (μB per formula unit)
1,0.008
2,0.000
3,0.000
4,0.000